An optimized crystal structure of KSr2Tl2. Source: Alexandria, functional PBE.

Summary:
ρ: 4.26 Mg/m³
ΔE to the lowest computed polymorph: 1.22 eV/f.u.
VASP energy: -1.85 eV/atom
Formation enthalpy at 0 K: -0.01 eV/atom

Cell: 6.1485 6.1485 7.7543 Å, 66.64 66.64 90.00°
Last column: nearest neighbours and their distance in Å.
Fractional coordinates of all 5 atoms:
Sr: 0.3453 0.3453 0.3094  4 Tl 3.31
Sr: 0.6547 0.6547 0.6906  4 Tl 3.31
Tl: 0.7500 0.2500 0.5000  4 Sr 3.31
Tl: 0.2500 0.7500 0.5000  4 Sr 3.31
K: 0.0000 0.0000 0.0000  10 Sr 4.43-4.78, 8 Tl 4.44